[1]
First-principles (PBE) data for Re2HgPb after structural relaxation, as listed in Alexandria.

## Properties
- size of the total moment (μB/f.u.) = 0.00
- space group = P4mm
- electronic total energy (eV/atom) = -6.804
- formation energy (eV per atom) = 0.423
- energy above the most stable polymorph in this dataset (eV/atom) = 0.0000

abc: 3.074 3.074 8.756
angles: 90.00 90.00 90.00
Atoms (fractional coordinates):
Re: 0.000 0.000 0.000
Re: 0.500 0.500 0.157
Hg: 0.000 0.000 0.401
Pb: 0.500 0.500 0.737

***

[2]
First-principles (PBE) data for ReHgPb2 after structural relaxation, as listed in Alexandria.

## Properties
- size of the total moment (μB/f.u.) = 0.00
- space group = P2/m
- electronic total energy (eV/atom) = -4.418
- formation energy (eV per atom) = 0.623

abc: 3.134 3.279 9.988
angles: 90.00 90.05 90.00
Atoms (fractional coordinates):
Re: 0.000 0.000 0.000
Hg: 0.000 0.000 0.500
Pb: 0.499 0.500 0.805
Pb: 0.501 0.500 0.195

***

[3]
First-principles (PBE) data for Re2HgPb after structural relaxation, as listed in Alexandria.

## Properties
- size of the total moment (μB/f.u.) = 0.00
- space group = I-4m2
- electronic total energy (eV/atom) = -6.015
- formation energy (eV per atom) = 1.211
- energy above the most stable polymorph in this dataset (eV/atom) = 0.7886

abc: 5.022 5.022 5.022
angles: 129.14 129.14 74.78
Atoms (fractional coordinates):
Re: 0.000 0.000 0.000
Re: 0.750 0.250 0.500
Hg: 0.250 0.750 0.500
Pb: 0.500 0.500 0.000

***

[4]
First-principles (PBE) data for Re2HgPb after structural relaxation, as listed in Alexandria.

## Properties
- size of the total moment (μB/f.u.) = 0.00
- space group = C2/m
- electronic total energy (eV/atom) = -6.041
- formation energy (eV per atom) = 1.186
- energy above the most stable polymorph in this dataset (eV/atom) = 0.7628

abc: 5.686 5.686 3.046
angles: 104.92 104.92 118.02
Atoms (fractional coordinates):
Re: 0.000 0.500 0.000
Re: 0.500 0.000 0.000
Hg: 0.000 0.000 0.500
Pb: 0.500 0.500 0.500

***

[5]
First-principles (PBE) data for ReHgPb2 after structural relaxation, as listed in Alexandria.

## Properties
- size of the total moment (μB/f.u.) = 0.00
- space group = R-3m
- electronic total energy (eV/atom) = -4.446
- formation energy (eV per atom) = 0.595

abc: 11.145 11.145 11.145
angles: 16.72 16.72 16.72
Atoms (fractional coordinates):
Re: 0.000 0.000 0.000
Hg: 0.500 0.500 0.500
Pb: 0.265 0.265 0.265
Pb: 0.735 0.735 0.735

***

[6]
First-principles (PBE) data for Re2HgPb after structural relaxation, as listed in Alexandria.

## Properties
- size of the total moment (μB/f.u.) = 0.87
- space group = P4/mmm
- electronic total energy (eV/atom) = -5.818
- formation energy (eV per atom) = 1.408
- energy above the most stable polymorph in this dataset (eV/atom) = 0.9855

abc: 2.950 2.950 8.619
angles: 90.00 90.00 90.00
Atoms (fractional coordinates):
Re: 0.000 0.000 0.242
Re: 0.000 0.000 0.758
Hg: 0.500 0.500 0.000
Pb: 0.500 0.500 0.500

***

[7]
First-principles (PBE) data for ReHgPb2 after structural relaxation, as listed in Alexandria.

## Properties
- size of the total moment (μB/f.u.) = 0.00
- space group = Pmm2
- electronic total energy (eV/atom) = -4.245
- formation energy (eV per atom) = 0.797

abc: 2.988 4.275 7.904
angles: 90.00 90.00 90.00
Atoms (fractional coordinates):
Re: 0.000 0.000 0.000
Hg: 0.500 0.500 0.159
Pb: 0.000 0.000 0.394
Pb: 0.500 0.500 0.771

***

[8]
First-principles (PBE) data for Re2HgPb after structural relaxation, as listed in Alexandria.

## Properties
- size of the total moment (μB/f.u.) = 1.96
- space group = I-42d
- electronic total energy (eV/atom) = -5.611
- formation energy (eV per atom) = 1.616
- energy above the most stable polymorph in this dataset (eV/atom) = 1.1931

abc: 6.121 6.121 6.121
angles: 101.72 101.72 126.42
Atoms (fractional coordinates):
Re: 0.124 0.625 0.999
Re: 0.375 0.374 0.499
Re: 0.626 0.125 0.001
Re: 0.875 0.876 0.501
Hg: 0.250 0.750 0.500
Hg: 0.500 0.500 0.000
Pb: 0.000 0.000 0.000
Pb: 0.750 0.250 0.500

***

What is the formation energy in the fourth record?
1.186 eV per atom

***

Which formula does entry 5 have?
ReHgPb2

***

Which formula does entry 2 have?
ReHgPb2